Record 1
First-principles (PBE) data for a relaxed SiNiMo2 crystal, as listed in Alexandria.

Cell: 3.346 4.022 4.102 Å, 90.00 90.00 90.00°
Element x y z (fractional)
Ni (0.500, 0.000, 0.500)
Si (0.000, 0.500, 0.500)
Mo (0.000, 0.000, 0.000)
Mo (0.500, 0.500, 0.000)

Results
E, eV/atom: -8.339
SG: Pmmm


Record 2
First-principles (PBE) data for a relaxed Si2NiMo crystal, as listed in Alexandria.

Cell: 2.648 2.648 7.670 Å, 90.00 90.00 89.97°
Element x y z (fractional)
Mo (0.000, 0.000, 0.513)
Si (0.000, 0.000, 0.966)
Si (0.500, 0.500, 0.254)
Ni (0.500, 0.500, 0.767)

Results
E, eV/atom: -6.849
SG: P4mm


Record 3
First-principles (PBE) data for a relaxed SiNiMo2 crystal, as listed in Alexandria.

Cell: 8.730 8.730 8.730 Å, 18.17 18.17 18.17°
Element x y z (fractional)
Si (0.750, 0.750, 0.750)
Ni (0.250, 0.250, 0.250)
Mo (0.000, 0.000, 0.000)
Mo (0.500, 0.500, 0.500)

Results
E, eV/atom: -8.105
SG: R-3m


Record 4
First-principles (PBE) data for a relaxed SiNiMo2 crystal, as listed in Alexandria.

Cell: 4.282 4.282 4.282 Å, 60.00 60.00 60.00°
Each line ends with the local moment (μB).
Element x y z (fractional)
Si (0.250, 0.250, 0.250)  0.00
Ni (0.500, 0.500, 0.500)  0.26
Mo (0.000, 0.000, 0.000)  -0.03
Mo (0.750, 0.750, 0.750)  0.23

Results
E, eV/atom: -8.233
SG: F-43m


Record 5
First-principles (PBE) data for a relaxed Si2NiMo crystal, as listed in Alexandria.

Cell: 4.030 4.033 3.145 Å, 90.00 90.00 90.00°
Element x y z (fractional)
Si (0.500, 0.500, 0.000)
Si (0.000, 0.000, 0.000)
Ni (0.000, 0.500, 0.500)
Mo (0.500, 0.000, 0.500)

Results
E, eV/atom: -7.162
SG: P4/mmm


Record 6
First-principles (PBE) data for a relaxed SiNiMo2 crystal, as listed in Alexandria.

Cell: 4.824 4.824 4.824 Å, 141.09 127.97 66.84°
Element x y z (fractional)
Mo (0.744, 0.244, 0.500)
Mo (0.010, 0.010, 0.000)
Si (0.270, 0.770, 0.500)
Ni (0.476, 0.476, 0.000)

Results
E, eV/atom: -8.442
SG: Imm2


Record 7
First-principles (PBE) data for a relaxed SiNi3Mo crystal, as listed in Alexandria.

Cell: 4.155 4.155 4.155 Å, 90.00 90.00 90.00°
Each line ends with the local moment (μB).
Element x y z (fractional)
Ni (0.000, 0.500, 0.000)  0.13
Ni (0.000, 0.000, 0.500)  0.12
Ni (0.500, 0.000, 0.000)  0.18
Mo (0.500, 0.500, 0.500)  2.05
Si (0.000, 0.000, 0.000)  -0.03

Results
E, eV/atom: -6.091
SG: Pm-3m


Record 8
First-principles (PBE) data for a relaxed Si2NiMo crystal, as listed in Alexandria.

Cell: 3.194 3.194 5.172 Å, 90.00 90.00 90.00°
Element x y z (fractional)
Mo (0.000, 0.000, 0.472)
Ni (0.500, 0.500, 0.795)
Si (0.500, 0.500, 0.257)
Si (0.000, 0.000, 0.976)

Results
E, eV/atom: -7.160
SG: P4mm


Record 9
First-principles (PBE) data for a relaxed SiNi2Mo crystal, as listed in Alexandria.

Cell: 4.526 4.526 2.654 Å, 90.00 90.00 111.95°
Element x y z (fractional)
Ni (0.500, 0.500, 0.000)
Ni (0.000, 0.000, 0.000)
Si (0.500, 0.000, 0.500)
Mo (0.000, 0.500, 0.500)

Results
E, eV/atom: -7.032
SG: Cmmm


Record 10
First-principles (PBE) data for a relaxed Si2NiMo crystal, as listed in Alexandria.

Cell: 6.391 6.391 5.293 Å, 52.86 52.86 90.00°
Element x y z (fractional)
Mo (0.750, 0.250, 0.500)
Mo (0.000, 0.000, 0.000)
Si (0.585, 0.125, 0.250)
Si (0.875, 0.835, 0.750)
Si (0.165, 0.625, 0.250)
Si (0.375, 0.415, 0.750)
Ni (0.250, 0.750, 0.500)
Ni (0.500, 0.500, 0.000)

Results
E, eV/atom: -6.789
SG: I-42d


Record 11
First-principles (PBE) data for a relaxed SiNiMo crystal, as listed in Alexandria.

Cell: 3.967 3.967 3.967 Å, 60.00 60.00 60.00°
Each line ends with the local moment (μB).
Element x y z (fractional)
Ni (0.750, 0.750, 0.750)  0.38
Si (0.000, 0.000, 0.000)  -0.02
Mo (0.500, 0.500, 0.500)  1.14

Results
E, eV/atom: -7.327
SG: F-43m


Record 12
First-principles (PBE) data for a relaxed SiNi2Mo crystal, as listed in Alexandria.

Cell: 8.184 8.184 8.184 Å, 19.07 19.07 19.07°
Element x y z (fractional)
Ni (0.246, 0.246, 0.246)
Ni (0.997, 0.997, 0.997)
Mo (0.750, 0.750, 0.750)
Si (0.507, 0.507, 0.507)

Results
E, eV/atom: -6.962
SG: R3m